Record 1
Computed, not measured: a geometry-optimized Rb3Hg20 structure at the PBE-GGA level of DFT.

a = 11.024 Å, b = 11.024 Å, c = 11.024 Å
α = 90.00°, β = 90.00°, γ = 90.00°
Fractional positions:
Rb1 0.000 0.250 0.500
Rb2 0.000 0.750 0.500
Rb3 0.250 0.500 0.000
Rb4 0.500 0.000 0.250
Rb5 0.500 0.000 0.750
Rb6 0.750 0.500 0.000
Hg1 0.000 0.000 0.000
Hg2 0.000 0.258 0.134
Hg3 0.000 0.258 0.866
Hg4 0.000 0.500 0.250
Hg5 0.000 0.500 0.750
Hg6 0.000 0.742 0.134
Hg7 0.000 0.742 0.866
Hg8 0.134 0.000 0.258
Hg9 0.134 0.000 0.742
Hg10 0.242 0.500 0.366
Hg11 0.242 0.500 0.634
Hg12 0.250 0.000 0.500
Hg13 0.250 0.250 0.250
Hg14 0.250 0.250 0.750
Hg15 0.250 0.750 0.250
Hg16 0.250 0.750 0.750
Hg17 0.258 0.134 0.000
Hg18 0.258 0.866 0.000
Hg19 0.366 0.242 0.500
Hg20 0.366 0.758 0.500
Hg21 0.500 0.250 0.000
Hg22 0.500 0.366 0.242
Hg23 0.500 0.366 0.758
Hg24 0.500 0.500 0.500
Hg25 0.500 0.634 0.242
Hg26 0.500 0.634 0.758
Hg27 0.500 0.750 0.000
Hg28 0.634 0.242 0.500
Hg29 0.634 0.758 0.500
Hg30 0.742 0.134 0.000
Hg31 0.742 0.866 0.000
Hg32 0.750 0.000 0.500
Hg33 0.750 0.250 0.250
Hg34 0.750 0.250 0.750
Hg35 0.750 0.750 0.250
Hg36 0.750 0.750 0.750
Hg37 0.758 0.500 0.366
Hg38 0.758 0.500 0.634
Hg39 0.866 0.000 0.258
Hg40 0.866 0.000 0.742

Values from the calculation:
As for the symmetry: Pm-3n (223). The calculation puts the total energy at -0.5012 eV per atom.

---

Record 2
Computed, not measured: a geometry-optimized PaCuMo structure at the PBE-GGA level of DFT.

a = 4.394 Å, b = 4.394 Å, c = 4.394 Å
α = 60.00°, β = 60.00°, γ = 60.00°
Fractional positions:
Pa1 0.000 0.000 0.000
Cu1 0.750 0.750 0.750
Mo1 0.500 0.500 0.500

Values from the calculation:
As for the symmetry: F-43m (216). The calculation puts the total energy at -7.4374 eV per atom. The distance to the lowest polymorph of the same formula is 0 meV per atom.

---

Record 3
Computed, not measured: a geometry-optimized Ga2PtI4Br4 structure at the PBE-GGA level of DFT.

a = 8.298 Å, b = 8.298 Å, c = 7.790 Å
α = 94.94°, β = 94.94°, γ = 68.44°
Fractional positions:
Ga1 0.218 0.218 0.339
Ga2 0.782 0.782 0.661
Pt1 0.000 0.000 0.000
I1 0.084 0.688 0.848
I2 0.312 0.916 0.152
I3 0.688 0.084 0.848
I4 0.916 0.312 0.152
Br1 0.184 0.184 0.624
Br2 0.381 0.381 0.294
Br3 0.619 0.619 0.706
Br4 0.816 0.816 0.376

Values from the calculation:
As for the symmetry: C2/m (12). The calculation puts the total energy at -2.8234 eV per atom. The distance to the lowest polymorph of the same formula is 0 meV per atom.

---

Record 4
Computed, not measured: a geometry-optimized TbFe2W2 structure at the PBE-GGA level of DFT.

a = 5.734 Å, b = 5.734 Å, c = 5.734 Å
α = 137.43°, β = 137.43°, γ = 61.78°
Fractional positions:
Tb1 0.000 0.000 0.000
Fe1 0.375 0.375 0.000
Fe2 0.625 0.625 0.000
W1 0.250 0.750 0.500
W2 0.750 0.250 0.500

Values from the calculation:
As for the symmetry: I4/mmm (139). The calculation puts the total energy at -9.3653 eV per atom. The distance to the lowest polymorph of the same formula is 0 meV per atom.

---

Record 5
Computed, not measured: a geometry-optimized AlTc2Ag structure at the PBE-GGA level of DFT.

a = 4.404 Å, b = 4.404 Å, c = 4.404 Å
α = 60.00°, β = 60.00°, γ = 60.00°
Fractional positions:
Al1 0.000 0.000 0.000
Tc1 0.500 0.500 0.500
Tc2 0.750 0.750 0.750
Ag1 0.250 0.250 0.250

Values from the calculation:
As for the symmetry: F-43m (216). The calculation puts the total energy at -6.6936 eV per atom.

---

Record 6
Computed, not measured: a geometry-optimized HfCoSnAu structure at the PBE-GGA level of DFT.

a = 4.642 Å, b = 4.642 Å, c = 4.642 Å
α = 60.00°, β = 60.00°, γ = 60.00°
Fractional positions:
Hf1 0.000 0.000 0.000
Co1 0.750 0.750 0.750
Sn1 0.250 0.250 0.250
Au1 0.500 0.500 0.500

Values from the calculation:
As for the symmetry: F-43m (216). The calculation puts the total energy at -6.0370 eV per atom. The distance to the lowest polymorph of the same formula is 221 meV per atom.

---

Record 7
Computed, not measured: a geometry-optimized Dy2ZnCdPd4 structure at the PBE-GGA level of DFT.

a = 4.730 Å, b = 4.730 Å, c = 6.720 Å
α = 90.00°, β = 90.00°, γ = 90.00°
Fractional positions:
Dy1 0.000 0.000 0.000
Dy2 0.500 0.500 0.500
Zn1 0.000 0.000 0.500
Cd1 0.500 0.500 0.000
Pd1 0.000 0.500 0.261
Pd2 0.000 0.500 0.739
Pd3 0.500 0.000 0.261
Pd4 0.500 0.000 0.739

Values from the calculation:
As for the symmetry: P4/mmm (123). The calculation puts the total energy at -4.7482 eV per atom.

---

Record 8
Computed, not measured: a geometry-optimized MgScCuPb structure at the PBE-GGA level of DFT.

a = 4.889 Å, b = 4.889 Å, c = 4.889 Å
α = 60.00°, β = 60.00°, γ = 60.00°
Fractional positions:
Mg1 0.000 0.000 0.000
Sc1 0.750 0.750 0.750
Cu1 0.250 0.250 0.250
Pb1 0.500 0.500 0.500

Values from the calculation:
As for the symmetry: F-43m (216). The calculation puts the total energy at -3.8025 eV per atom. The distance to the lowest polymorph of the same formula is 161 meV per atom.